## ErThNi2Ge2 (PBE)

Data for crystalline ErThNi2Ge2 at its relaxed geometry.

Cell lengths 4.177, 4.177, 7.601 Å; angles 90.00, 90.00, 120.00 degrees
Atoms (fractional coordinates):
Er  0.000  0.000  0.500
Th  0.000  0.000  0.000
Ni  0.667  0.333  0.267
Ni  0.333  0.667  0.733
Ge  0.667  0.333  0.738
Ge  0.333  0.667  0.262

Properties
Calculated volume in Å³ per cell: 115
Final energy in eV per atom: -6.238
Formation enthalpy at 0 K in eV per atom: -0.775



## MnAgPb4 (PBE)

Data for crystalline MnAgPb4 at its relaxed geometry.

Cell lengths 6.366, 6.366, 6.366 Å; angles 60.00, 60.00, 60.00 degrees
Site moments in Bohr magnetons follow the coordinates.
Atoms (fractional coordinates):
Mn  0.000  0.000  0.000  4.33
Ag  0.750  0.750  0.750  -0.01
Pb  0.876  0.375  0.375  -0.01
Pb  0.375  0.375  0.876  -0.01
Pb  0.375  0.876  0.375  -0.01
Pb  0.375  0.375  0.375  -0.01

Properties
Calculated volume in Å³ per cell: 182
Final energy in eV per atom: -3.877
Formation enthalpy at 0 K in eV per atom: 0.599



## CdHgPb2Au (PBE)

Data for crystalline CdHgPb2Au at its relaxed geometry.

Cell lengths 5.752, 5.247, 5.752 Å; angles 90.00, 90.00, 90.00 degrees
Atoms (fractional coordinates):
Pb  0.000  0.000  0.500
Pb  0.500  0.000  0.000
Au  0.500  0.500  0.500
Hg  0.000  0.000  0.000
Cd  0.000  0.500  0.000

Properties
Calculated volume in Å³ per cell: 174
Final energy in eV per atom: -1.849
Formation enthalpy at 0 K in eV per atom: 0.533



## RbHgPb4 (PBE)

Data for crystalline RbHgPb4 at its relaxed geometry.

Cell lengths 4.744, 8.717, 10.121 Å; angles 90.00, 103.55, 90.00 degrees
Atoms (fractional coordinates):
Rb  0.117  0.250  0.234
Rb  0.883  0.750  0.766
Hg  0.243  0.750  0.485
Hg  0.757  0.250  0.515
Pb  0.500  0.500  0.000
Pb  0.500  0.000  0.000
Pb  0.674  0.939  0.349
Pb  0.326  0.061  0.651
Pb  0.326  0.439  0.651
Pb  0.674  0.561  0.349
Pb  0.071  0.750  0.142
Pb  0.929  0.250  0.858

Properties
Calculated volume in Å³ per cell: 407
Final energy in eV per atom: -2.715
Energy above the lowest structure with this stoichiometry in eV/atom: 0.000
Formation enthalpy at 0 K in eV per atom: -0.032



## ScBe2Ni (PBE)

Data for crystalline ScBe2Ni at its relaxed geometry.

Cell lengths 4.125, 4.125, 4.125 Å; angles 122.50, 118.20, 89.43 degrees
Atoms (fractional coordinates):
Sc  0.250  0.750  0.500
Ni  0.524  0.524  0.000
Be  0.974  0.974  0.000
Be  0.752  0.252  0.500

Properties
Calculated volume in Å³ per cell: 49
Final energy in eV per atom: -5.008
Energy above the lowest structure with this stoichiometry in eV/atom: 0.165
Formation enthalpy at 0 K in eV per atom: -0.117



## Zr4BeP (PBE)

Data for crystalline Zr4BeP at its relaxed geometry.

Cell lengths 5.619, 5.619, 5.619 Å; angles 60.00, 60.00, 60.00 degrees
Atoms (fractional coordinates):
Zr  0.872  0.376  0.376
Zr  0.376  0.376  0.872
Zr  0.376  0.872  0.376
Zr  0.376  0.376  0.376
Be  0.750  0.750  0.750
P  0.000  0.000  0.000

Properties
Calculated volume in Å³ per cell: 125
Final energy in eV per atom: -6.574
Formation enthalpy at 0 K in eV per atom: 0.647



## Ac2Nd3TmTe6 (PBE)

Data for crystalline Ac2Nd3TmTe6 at its relaxed geometry.

Cell lengths 4.495, 9.206, 10.131 Å; angles 102.04, 102.82, 90.00 degrees
Atoms (fractional coordinates):
Ac  0.834  0.666  0.667
Ac  0.166  0.334  0.333
Nd  0.500  0.500  0.000
Nd  0.825  0.162  0.649
Nd  0.175  0.838  0.351
Tm  0.500  0.000  0.000
Te  0.342  0.930  0.684
Te  0.663  0.593  0.326
Te  0.658  0.070  0.316
Te  0.993  0.234  0.987
Te  0.007  0.766  0.013
Te  0.337  0.407  0.674

Properties
Energy relative to the elements, uncorrected in eV/atom: -1.388
Calculated volume in Å³ per cell: 399
Final energy in eV per atom: -5.209



What is the calculated volume in the second record?
182 Å³ per cell



The highest final energy belongs to which entry?
CdHgPb2Au



Number 7 is which compound?
Ac2Nd3TmTe6